Entry 1:
Computed, not measured: an optimized crystal structure of Co2Re2Ni at the PBE level of DFT.

Calculated formation energy (kJ/mol of formula units): 109

Lattice parameters (Å, degrees): 7.015 7.015 2.622 90.00 90.00 90.00
Positions (direct):
Co 0.121 0.379 0.000
Co 0.379 0.879 0.000
Co 0.621 0.121 0.000
Co 0.879 0.621 0.000
Re 0.175 0.675 0.500
Re 0.325 0.175 0.500
Re 0.675 0.825 0.500
Re 0.825 0.325 0.500
Ni 0.000 0.000 0.000
Ni 0.500 0.500 0.000

---

Entry 2:
Computed, not measured: an optimized crystal structure of ScAl2Ga3 at the PBE level of DFT.

Calculated formation energy (kJ/mol of formula units): -157

Lattice parameters (Å, degrees): 6.483 6.483 4.067 90.00 90.00 142.62
Positions (direct):
Sc 0.000 0.000 0.000
Al 0.328 0.672 0.000
Al 0.672 0.328 0.000
Ga 0.170 0.830 0.500
Ga 0.500 0.500 0.500
Ga 0.830 0.170 0.500

---

Entry 3:
Computed, not measured: an optimized crystal structure of Y4Ho19Sc6 at the PBE level of DFT.

Calculated formation energy (kJ/mol of formula units): 1137

Lattice parameters (Å, degrees): 10.598 10.598 10.598 109.47 109.47 109.47
Positions (direct):
Y 0.000 0.000 0.358
Y 0.000 0.358 0.000
Y 0.358 0.000 0.000
Y 0.642 0.642 0.642
Ho 0.000 0.000 0.000
Ho 0.000 0.266 0.266
Ho 0.000 0.734 0.734
Ho 0.008 0.223 0.668
Ho 0.215 0.992 0.660
Ho 0.223 0.668 0.008
Ho 0.266 0.000 0.266
Ho 0.266 0.266 0.000
Ho 0.332 0.555 0.340
Ho 0.340 0.332 0.555
Ho 0.445 0.777 0.785
Ho 0.555 0.340 0.332
Ho 0.660 0.215 0.992
Ho 0.668 0.008 0.223
Ho 0.734 0.000 0.734
Ho 0.734 0.734 0.000
Ho 0.777 0.785 0.445
Ho 0.785 0.445 0.777
Ho 0.992 0.660 0.215
Sc 0.118 0.500 0.618
Sc 0.382 0.882 0.500
Sc 0.500 0.382 0.882
Sc 0.500 0.618 0.118
Sc 0.618 0.118 0.500
Sc 0.882 0.500 0.382

---

Entry 4:
Computed, not measured: an optimized crystal structure of Na3Ga8Pt3 at the PBE level of DFT.

Calculated formation energy (kJ/mol of formula units): -570

Lattice parameters (Å, degrees): 8.241 8.241 8.896 122.19 122.19 31.27
Positions (direct):
Na 0.000 0.000 0.000
Na 0.284 0.284 0.283
Na 0.716 0.716 0.717
Ga 0.140 0.140 0.845
Ga 0.150 0.150 0.445
Ga 0.345 0.345 0.972
Ga 0.499 0.499 0.672
Ga 0.501 0.501 0.328
Ga 0.655 0.655 0.028
Ga 0.850 0.850 0.555
Ga 0.860 0.860 0.155
Pt 0.000 0.000 0.500
Pt 0.343 0.343 0.689
Pt 0.657 0.657 0.311

---

Entry 5:
Computed, not measured: an optimized crystal structure of CeHf2Os at the PBE level of DFT.

Calculated formation energy (kJ/mol of formula units): -95

Lattice parameters (Å, degrees): 3.254 3.254 8.044 90.00 90.00 90.00
Positions (direct):
Ce 0.000 0.000 0.000
Hf 0.500 0.500 0.301
Hf 0.500 0.500 0.699
Os 0.000 0.000 0.500

---

Entry 6:
Computed, not measured: an optimized crystal structure of ErTeS at the PBE level of DFT.

Formation energy (no corrections) (eV/atom): -1.4967

Lattice parameters (Å, degrees): 4.221 5.554 7.594 70.30 79.16 88.24
Positions (direct):
Er 0.212 0.179 0.164
Er 0.788 0.821 0.836
Te 0.385 0.753 0.527
Te 0.615 0.247 0.473
S 0.218 0.722 0.069
S 0.782 0.278 0.931